# CoPtIO2

A relaxed structure of CoPtIO2 (GGA+U, Alexandria).

Values from the calculation:
Density of states at the Fermi level ... 0.872 states/eV per atom
E above lowest polymorph ... 52 meV per atom
Energy ... -4.36 eV per atom
Crystal system ... tetragonal
Volume ... 17.65 A^3/atom

a = 3.713 Å, b = 3.713 Å, c = 6.401 Å
α = 90.00°, β = 90.00°, γ = 90.00°
Positions (direct):
1 Co 0.000 0.000 0.000
2 Pt 0.500 0.500 0.500
3 I 0.000 0.000 0.500
4 O 0.000 0.500 0.000
5 O 0.500 0.000 0.000